First-principles (meta-GGA SCAN) data for Tl2PtBr at its PBEsol-relaxed geometry, as listed in Alexandria via LeMat-Bulk.

As for the energy relative to the lowest polymorph listed for this composition: 72 meV per atom. The formation energy without anion corrections is 99 meV/atom. Its space group is I-4m2 (119).

Cell: 4.0720 4.0720 6.6586 Å, 107.80 107.80 90.00°
Positions (direct):
Tl  0.0000  0.0000  0.0000
Br  0.5000  0.5000  0.0000
Tl  0.7500  0.2500  0.5000
Pt  0.2500  0.7500  0.5000

---

First-principles (meta-GGA SCAN) data for ZrZnFe at its PBEsol-relaxed geometry, as listed in Alexandria via LeMat-Bulk.

The energy of formation comes out at -0.3 eV per formula unit. Its space group is I4mm (107).

Cell: 3.2334 3.2334 4.8762 Å, 109.36 109.36 90.00°
Positions (direct):
Zn  0.3462  0.3462  0.6924
Fe  0.9979  0.9979  0.9957
Zr  0.6559  0.6559  0.3118

---

First-principles (meta-GGA SCAN) data for Cu2TcPb at its PBEsol-relaxed geometry, as listed in Alexandria via LeMat-Bulk.

The energy of formation comes out at 2.3 eV per formula unit. Its space group is Cmmm (65).

Cell: 2.8704 4.7680 4.7680 Å, 110.67 89.95 89.95°
Positions (direct):
Cu  0.0000  0.5000  0.0000
Cu  0.0000  0.0000  0.5000
Tc  0.5000  0.5000  0.5000
Pb  0.5000  0.0000  0.0000

---

First-principles (meta-GGA SCAN) data for BaCuBr2 at its PBEsol-relaxed geometry, as listed in Alexandria via LeMat-Bulk.

As for the energy relative to the lowest polymorph listed for this composition: 0 meV per atom. The formation energy without anion corrections is -1029 meV/atom. Its space group is R-3m (166).

Cell: 5.1499 5.1499 5.1458 Å, 66.80 66.80 66.79°
Positions (direct):
Br  0.7791  0.7791  0.2791
Cu  0.0000  0.0000  0.5000
Ba  0.5000  0.5000  0.0000
Br  0.2209  0.2209  0.7209

---

First-principles (meta-GGA SCAN) data for IrRuRh at its PBEsol-relaxed geometry, as listed in Alexandria via LeMat-Bulk.

As for the energy relative to the lowest polymorph listed for this composition: 0 meV per atom. The energy of formation comes out at -0.1 eV per formula unit. Its space group is Imm2 (44).

Cell: 2.6781 3.7846 4.6419 Å, 114.06 106.77 90.00°
Positions (direct):
Ir  0.9971  0.9971  0.9941
Ru  0.3354  0.3354  0.6708
Rh  0.6675  0.6675  0.3351

---

First-principles (meta-GGA SCAN) data for TaSb2P at its PBEsol-relaxed geometry, as listed in Alexandria via LeMat-Bulk.

The formation energy without anion corrections is 107 meV/atom. Its space group is Imm2 (44).

Cell: 3.6142 3.7414 7.1394 Å, 105.19 104.66 90.00°
Positions (direct):
Ta  0.5706  0.5706  0.1413
P  0.2025  0.7025  0.4051
Sb  0.9748  0.9748  0.9496
Sb  0.7520  0.2520  0.5041

---

First-principles (meta-GGA SCAN) data for SrTa2NiP at its PBEsol-relaxed geometry, as listed in Alexandria via LeMat-Bulk.

The energy of formation comes out at 2.3 eV per formula unit. Its space group is P4/mmm (123).

Cell: 4.3127 4.7380 4.7380 Å, 90.00 90.00 90.00°
Positions (direct):
Ta  0.0000  0.5000  0.0000
Ta  0.0000  0.0000  0.5000
P  0.0000  0.0000  0.0000
Sr  0.5000  0.5000  0.5000
Ni  0.5000  0.0000  0.0000

---

First-principles (meta-GGA SCAN) data for ScPtSe2 at its PBEsol-relaxed geometry, as listed in Alexandria via LeMat-Bulk.

As for the energy relative to the lowest polymorph listed for this composition: 488 meV per atom. The formation energy without anion corrections is -572 meV/atom. Its space group is Fm-3m (225).

Cell: 4.6283 4.6283 4.6283 Å, 60.00 60.00 60.00°
Positions (direct):
Pt  0.0000  0.0000  0.0000
Se  0.7500  0.7500  0.7500
Sc  0.5000  0.5000  0.5000
Se  0.2500  0.2500  0.2500

---

First-principles (meta-GGA SCAN) data for TlP2Se at its PBEsol-relaxed geometry, as listed in Alexandria via LeMat-Bulk.

As for the energy relative to the lowest polymorph listed for this composition: 0 meV per atom. The formation energy without anion corrections is 60 meV/atom. Its space group is Pm (6).

Cell: 3.1678 5.4084 5.6116 Å, 111.05 90.00 90.00°
Positions (direct):
P  0.5000  0.3706  0.1697
P  0.0000  0.0778  0.1100
Se  0.0000  0.9943  0.4922
Tl  0.5000  0.5573  0.7281

---

First-principles (meta-GGA SCAN) data for TlRhBr2 at its PBEsol-relaxed geometry, as listed in Alexandria via LeMat-Bulk.

As for the energy relative to the lowest polymorph listed for this composition: 506 meV per atom. The formation energy without anion corrections is 170 meV/atom. Its space group is P4/mmm (123).

Cell: 3.4580 5.1427 5.1427 Å, 90.00 90.00 90.00°
Positions (direct):
Br  0.0000  0.5000  0.0000
Tl  0.5000  0.0000  0.0000
Br  0.0000  0.0000  0.5000
Rh  0.5000  0.5000  0.5000

---

First-principles (meta-GGA SCAN) data for Hg2IrRh at its PBEsol-relaxed geometry, as listed in Alexandria via LeMat-Bulk.

As for the energy relative to the lowest polymorph listed for this composition: 0 meV per atom. The energy of formation comes out at 1.7 eV per formula unit. Its space group is C2/m (12).

Cell: 2.9162 4.7940 5.0602 Å, 99.99 90.00 107.71°
Positions (direct):
Rh  0.0000  0.0000  0.5000
Hg  0.7494  0.4988  0.7484
Hg  0.2506  0.5012  0.2516
Ir  0.5000  0.0000  0.0000

---

First-principles (meta-GGA SCAN) data for CaTaTc2 at its PBEsol-relaxed geometry, as listed in Alexandria via LeMat-Bulk.

As for the energy relative to the lowest polymorph listed for this composition: 0 meV per atom. The energy of formation comes out at 1.2 eV per formula unit. Its space group is P2/m (10).

Cell: 2.8864 4.1984 6.1076 Å, 90.00 98.72 90.00°
Positions (direct):
Tc  0.2339  0.0000  0.3070
Ta  0.0000  0.5000  0.5000
Tc  0.7661  0.0000  0.6930
Ca  0.5000  0.5000  0.0000

---

First-principles (meta-GGA SCAN) data for TlCoSN2 at its PBEsol-relaxed geometry, as listed in Alexandria via LeMat-Bulk.

The formation energy without anion corrections is 860 meV/atom. Its space group is P4/mmm (123).

Cell: 3.6890 3.6890 4.8978 Å, 90.00 90.00 90.00°
Positions (direct):
Co  0.0000  0.0000  0.0000
S  0.0000  0.0000  0.5000
Tl  0.5000  0.5000  0.5000
N  0.0000  0.5000  0.0000
N  0.5000  0.0000  0.0000

---

First-principles (meta-GGA SCAN) data for La2RhAu at its PBEsol-relaxed geometry, as listed in Alexandria via LeMat-Bulk.

The energy of formation comes out at -2.6 eV per formula unit. Its space group is I-4m2 (119).

Cell: 4.4045 4.4045 5.4871 Å, 113.66 113.66 90.00°
Positions (direct):
La  0.7500  0.2500  0.5000
Rh  0.5000  0.5000  0.0000
Au  0.2500  0.7500  0.5000
La  0.0000  0.0000  0.0000

---

First-principles (meta-GGA SCAN) data for CoCuTc2I at its PBEsol-relaxed geometry, as listed in Alexandria via LeMat-Bulk.

The formation energy without anion corrections is 2090 meV/atom. Its space group is P4/mmm (123).

Cell: 4.4354 4.7693 4.7693 Å, 90.00 90.00 90.00°
Positions (direct):
I  0.0000  0.0000  0.0000
Co  0.5000  0.0000  0.0000
Tc  0.0000  0.0000  0.5000
Cu  0.5000  0.5000  0.5000
Tc  0.0000  0.5000  0.0000

---

First-principles (meta-GGA SCAN) data for Nb2HgPtSe at its PBEsol-relaxed geometry, as listed in Alexandria via LeMat-Bulk.

The formation energy without anion corrections is 1626 meV/atom. Its space group is P4/mmm (123).

Cell: 4.8495 5.0360 5.0360 Å, 90.00 90.00 90.00°
Positions (direct):
Nb  0.0000  0.0000  0.5000
Pt  0.5000  0.0000  0.0000
Nb  0.0000  0.5000  0.0000
Hg  0.0000  0.0000  0.0000
Se  0.5000  0.5000  0.5000

---

First-principles (meta-GGA SCAN) data for La2CrHg at its PBEsol-relaxed geometry, as listed in Alexandria via LeMat-Bulk.

The energy of formation comes out at -0.8 eV per formula unit. Its space group is Imm2 (44).

Cell: 3.7308 5.1174 6.2747 Å, 114.07 107.30 90.00°
Positions (direct):
La  0.7743  0.2743  0.5486
Hg  0.2151  0.7151  0.4302
Cr  0.5267  0.5267  0.0533
La  0.9839  0.9839  0.9678

---

First-principles (meta-GGA SCAN) data for YMnAs2Se at its PBEsol-relaxed geometry, as listed in Alexandria via LeMat-Bulk.

The formation energy without anion corrections is 234 meV/atom. Its space group is P4/mmm (123).

Cell: 5.2697 5.3054 5.3054 Å, 90.00 90.00 90.00°
Positions (direct):
Mn  0.5000  0.5000  0.5000
As  0.0000  0.0000  0.5000
As  0.0000  0.5000  0.0000
Y  0.0000  0.0000  0.0000
Se  0.5000  0.0000  0.0000

---

First-principles (meta-GGA SCAN) data for AlZn2Se at its PBEsol-relaxed geometry, as listed in Alexandria via LeMat-Bulk.

As for the energy relative to the lowest polymorph listed for this composition: 35 meV per atom. The formation energy without anion corrections is 214 meV/atom. Its space group is R-3m (166).

Cell: 2.8028 2.8028 9.9923 Å, 81.94 81.94 60.00°
Positions (direct):
Se  0.0000  0.0000  0.0000
Al  0.5000  0.5000  0.5000
Zn  0.2438  0.2438  0.2686
Zn  0.7562  0.7562  0.7313

---

First-principles (meta-GGA SCAN) data for NaEuTiNbO6F at its PBEsol-relaxed geometry, as listed in Alexandria via LeMat-Bulk.

The formation energy without anion corrections is -3059 meV/atom. Its space group is Imma (74).

Cell: 7.1281 7.2744 7.2744 Å, 61.94 60.66 60.66°
Positions (direct):
O  0.4161  0.4368  0.3173
Na  0.5000  0.0000  0.5000
F  0.1257  0.1243  0.6243
O  0.5839  0.1827  0.0632
O  0.8298  0.8173  0.9368
Ti  0.0000  0.5000  0.0000
O  0.8298  0.4368  0.3173
O  0.1702  0.5632  0.6827
O  0.4320  0.8180  0.3180
O  0.5680  0.1820  0.6820
O  0.8270  0.4230  0.9230
O  0.1730  0.5770  0.0770
O  0.4161  0.8173  0.9368
O  0.1702  0.1827  0.0632
Na  0.0000  0.0000  0.5000
Eu  0.0000  0.0000  0.0000
Nb  0.5000  0.0000  0.0000
Eu  0.0000  0.5000  0.5000
O  0.5839  0.5632  0.6827
Ti  0.5000  0.5000  0.0000
Nb  0.5000  0.5000  0.5000
F  0.8743  0.8757  0.3757

---

First-principles (meta-GGA SCAN) data for ScTl2Ag at its PBEsol-relaxed geometry, as listed in Alexandria via LeMat-Bulk.

The energy of formation comes out at 0.0 eV per formula unit. Its space group is R-3m (166).

Cell: 3.3153 3.3153 9.4924 Å, 79.94 79.94 60.00°
Positions (direct):
Tl  0.7530  0.7530  0.7411
Sc  0.0000  0.0000  0.0000
Tl  0.2470  0.2470  0.2589
Ag  0.5000  0.5000  0.5000

---

First-principles (meta-GGA SCAN) data for Ba4TiP4 at its PBEsol-relaxed geometry, as listed in Alexandria via LeMat-Bulk.

The energy of formation comes out at -11.3 eV per formula unit. Its space group is P-43n (218).

Cell: 13.0897 13.0897 13.0897 Å, 90.00 90.00 90.00°
Positions (direct):
Ba  0.3634  0.4087  0.1492
Ba  0.9087  0.8634  0.6492
Ba  0.3634  0.5913  0.8508
Ti  0.0000  0.5000  0.7500
Ba  0.8507  0.1493  0.8507
P  0.3959  0.1496  0.1109
Ba  0.1493  0.8507  0.8507
Ba  0.6366  0.5913  0.1492
P  0.1109  0.3959  0.1496
Ti  0.0000  0.0000  0.0000
Ti  0.7500  0.0000  0.5000
P  0.1496  0.8891  0.6041
Ti  0.0000  0.5000  0.2500
P  0.8891  0.3959  0.8504
P  0.6041  0.1496  0.8891
Ba  0.6492  0.9087  0.8634
P  0.8504  0.8891  0.3959
Ba  0.8507  0.8507  0.1493
P  0.1050  0.8950  0.1050
P  0.3891  0.3504  0.8959
P  0.8959  0.6109  0.6496
P  0.1109  0.6041  0.8504
Ba  0.6493  0.3507  0.3507
Ba  0.8508  0.3634  0.5913
Ba  0.3507  0.6493  0.3507
Ti  0.5000  0.5000  0.5000
P  0.8950  0.8950  0.8950
Ba  0.5913  0.1492  0.6366
P  0.8504  0.1109  0.6041
P  0.6050  0.3950  0.6050
P  0.3504  0.8959  0.3891
P  0.1050  0.1050  0.8950
P  0.6050  0.6050  0.3950
Ba  0.1366  0.6492  0.0913
Ba  0.8634  0.6492  0.9087
P  0.8891  0.6041  0.1496
P  0.1041  0.6109  0.3504
P  0.3950  0.3950  0.3950
Ba  0.0913  0.1366  0.6492
Ba  0.3508  0.9087  0.1366
Ba  0.6366  0.4087  0.8508
Ti  0.5000  0.2500  0.0000
P  0.6109  0.6496  0.8959
P  0.3950  0.6050  0.6050
P  0.8959  0.3891  0.3504
P  0.6496  0.1041  0.3891
Ba  0.8508  0.6366  0.4087
P  0.3959  0.8504  0.8891
Ba  0.4087  0.8508  0.6366
P  0.8950  0.1050  0.1050
Ba  0.1493  0.1493  0.1493
Ti  0.2500  0.0000  0.5000
P  0.3891  0.6496  0.1041
Ba  0.1366  0.3508  0.9087
P  0.6109  0.3504  0.1041
Ba  0.3507  0.3507  0.6493
Ba  0.6493  0.6493  0.6493
Ba  0.1492  0.6366  0.5913
Ba  0.4087  0.1492  0.3634
Ti  0.5000  0.7500  0.0000
P  0.6496  0.8959  0.6109
P  0.1496  0.1109  0.3959
Ba  0.6492  0.0913  0.1366
Ba  0.0913  0.8634  0.3508
Ba  0.8634  0.3508  0.0913
P  0.3504  0.1041  0.6109
Ba  0.1492  0.3634  0.4087
Ba  0.3508  0.0913  0.8634
Ba  0.5913  0.8508  0.3634
Ba  0.9087  0.1366  0.3508
P  0.1041  0.3891  0.6496
P  0.6041  0.8504  0.1109

---

First-principles (meta-GGA SCAN) data for GaSi3I at its PBEsol-relaxed geometry, as listed in Alexandria via LeMat-Bulk.

The formation energy without anion corrections is 1172 meV/atom. Its space group is Pm-3m (221).

Cell: 4.8221 4.8221 4.8221 Å, 90.00 90.00 90.00°
Positions (direct):
Si  0.0000  0.5000  0.0000
Si  0.0000  0.0000  0.5000
Ga  0.0000  0.0000  0.0000
Si  0.5000  0.0000  0.0000
I  0.5000  0.5000  0.5000

---

First-principles (meta-GGA SCAN) data for Y3ZnN at its PBEsol-relaxed geometry, as listed in Alexandria via LeMat-Bulk.

The formation energy without anion corrections is -974 meV/atom. Its space group is Pm-3m (221).

Cell: 4.7104 4.7104 4.7104 Å, 90.00 90.00 90.00°
Positions (direct):
Y  0.0000  0.0000  0.5000
Zn  0.5000  0.5000  0.5000
Y  0.5000  0.0000  0.0000
N  0.0000  0.0000  0.0000
Y  0.0000  0.5000  0.0000

---

First-principles (meta-GGA SCAN) data for TcSbSeI2 at its PBEsol-relaxed geometry, as listed in Alexandria via LeMat-Bulk.

The formation energy without anion corrections is 658 meV/atom. Its space group is P4/mmm (123).

Cell: 5.1447 5.1447 5.2513 Å, 90.00 90.00 90.00°
Positions (direct):
Se  0.5000  0.5000  0.5000
Tc  0.0000  0.0000  0.0000
I  0.5000  0.0000  0.0000
Sb  0.0000  0.0000  0.5000
I  0.0000  0.5000  0.0000